Density functional theory data (PBE with a Hubbard U) for an optimized crystal structure of MnTlZnF6.

CIF file:
```
data_MnTlZnF6
_chemical_formula_sum 'Mn2 Tl2 Zn2 F12'
_space_group_name_H-M_alt 'C 1 2 1'
_space_group_IT_number 5
_cell_length_a 5.4040
_cell_length_b 9.3252
_cell_length_c 6.0447
_cell_angle_alpha 90.00
_cell_angle_beta 90.08
_cell_angle_gamma 90.00
loop_
_space_group_symop_operation_xyz
'x,y,z'
'-x,y,-z'
'x+1/2,y+1/2,z'
'-x+1/2,y+1/2,-z'
loop_
_atom_site_label
_atom_site_fract_x
_atom_site_fract_y
_atom_site_fract_z
_atom_site_occupancy
Mn1 0.0000 0.0000 0.0000 1
Tl1 0.0000 0.3335 0.5000 1
Zn1 0.0000 0.6670 0.0000 1
F1 0.1205 0.8444 0.1798 1
F2 0.1746 0.1403 0.1779 1
F3 0.2019 0.5186 0.1804 1
```

## Properties
Calculated total energy, eV/cell: -83.5
Density, g cm⁻³: 4.78